DFT (PBE) results for LiThZrMn after structural relaxation.

energy of formation from the pure elements: 0.16 eV/atom
total energy: -6.599 eV/atom

Unit cell a=6.8085 b=6.8085 c=6.8085 alpha=90.00 beta=90.00 gamma=90.00
With the nearest neighbours (Å) after each atom.
Space group F-43m (No. 216)
Symmetry-distinct sites (fractional):
Li 0.0000 0.0000 0.0000 (multiplicity 4)  4 Th 2.95, 4 Zr 2.95
Th 0.2500 0.2500 0.7500 (multiplicity 4)  4 Mn 2.95, 4 Li 2.95
Zr 0.2500 0.2500 0.2500 (multiplicity 4)  4 Mn 2.95, 4 Li 2.95
Mn 0.0000 0.0000 0.5000 (multiplicity 4)  4 Zr 2.95, 4 Th 2.95